A geometry-optimized Pm3Pr2Y6Tm structure, computed with PBE.

The crystal system is monoclinic. The calculation puts the energy of formation at 13 meV/atom.

The space group is C2/m (No. 12) and the conventional cell measures 6.255, 10.829 and 11.903 Å, with angles of 90.00, 100.04 and 90.00 degrees. The inequivalent atoms are Pm at (0.000, 0.000, 0.000), Pm at (0.000, 0.333, 0.000), Pr at (0.000, 0.166, 0.500), Y at (0.249, 0.334, 0.750), Y at (0.249, 0.500, 0.250) and Tm at (0.000, 0.500, 0.500).